HfMnO2 | PBE with a Hubbard U | relaxed

As for the excess energy over the best structure of this formula in the dataset: 726 meV/atom. The value obtained for the total energy is -8.24 eV/atom. The value obtained for the total magnetization is 12.1 Bohr magnetons per cell.

It has space group Fm-3m (No. 225), with a = 5.5314 Å, b = 5.5314 Å, c = 5.5314 Å, α = 90.00°, β = 90.00° and γ = 90.00°. The inequivalent atoms are Hf at (0.0000, 0.0000, 0.0000), Mn at (0.0000, 0.0000, 0.5000) and O at (0.2500, 0.2500, 0.2500).

HfMnO2 | PBE with a Hubbard U | relaxed

As for the excess energy over the best structure of this formula in the dataset: 231 meV/atom. The value obtained for the total energy is -8.74 eV/atom. The value obtained for the total magnetization is 13.9 Bohr magnetons per cell.

It has space group I-42d (No. 122), with a = 4.8960 Å, b = 4.8960 Å, c = 9.9325 Å, α = 90.00°, β = 90.00° and γ = 90.00°. The inequivalent atoms are Hf at (0.0000, 0.0000, 0.0000), Mn at (0.0000, 0.0000, 0.5000) and O at (0.2211, 0.2500, 0.1250).

Hf2Mn2O | PBE with a Hubbard U | relaxed

As for the excess energy over the best structure of this formula in the dataset: 0 meV/atom. The value obtained for the total energy is -8.50 eV/atom. The value obtained for the total magnetization is 17.7 Bohr magnetons per cell.

It has space group P4/mbm (No. 127), with a = 5.9208 Å, b = 5.9208 Å, c = 5.3109 Å, α = 90.00°, β = 90.00° and γ = 90.00°. The inequivalent atoms are Hf at (0.1724, 0.3276, 0.0000), Mn at (0.1579, 0.6579, 0.5000) and O at (0.0000, 0.0000, 0.0000).

HfMnO3 | PBE with a Hubbard U | relaxed

The value obtained for the total energy is -8.82 eV/atom. The value obtained for the total magnetization is 5.0 Bohr magnetons per cell.

It has space group Pm-3m (No. 221), with a = 4.0415 Å, b = 4.0415 Å, c = 4.0415 Å, α = 90.00°, β = 90.00° and γ = 90.00°. The inequivalent atoms are Hf at (0.0000, 0.0000, 0.0000), Mn at (0.5000, 0.5000, 0.5000) and O at (0.0000, 0.0000, 0.5000).

Hf3Mn5O12 | PBE with a Hubbard U | relaxed

The value obtained for the total energy is -8.49 eV/atom. The value obtained for the total magnetization is 152.3 Bohr magnetons per cell.

It has space group Ia-3d (No. 230), with a = 12.1829 Å, b = 12.1829 Å, c = 12.1829 Å, α = 90.00°, β = 90.00° and γ = 90.00°. The inequivalent atoms are Hf at (0.0000, 0.2500, 0.1250), Mn at (0.0000, 0.0000, 0.0000), Mn at (0.0000, 0.2500, 0.3750) and O at (0.0178, 0.0676, 0.6493).

HfMn2O | PBE with a Hubbard U | relaxed

As for the excess energy over the best structure of this formula in the dataset: 0 meV/atom. The value obtained for the total energy is -7.50 eV/atom. The value obtained for the total magnetization is 28.2 Bohr magnetons per cell.

It has space group I-42d (No. 122), with a = 6.1785 Å, b = 6.1785 Å, c = 8.0014 Å, α = 90.00°, β = 90.00° and γ = 90.00°. The inequivalent atoms are Hf at (0.0000, 0.0000, 0.0000), Mn at (0.1173, 0.2500, 0.6250) and O at (0.0000, 0.0000, 0.5000).

Which of these has the lowest total magnetization?
HfMnO3